i.
## RbTiAl (PBE)

Data for RbTiAl after structural relaxation.

Cell and atoms, written as extended XYZ:
```
6
Lattice="4.597 0.000 0.000 0.003 5.785 0.000 0.113 0.457 6.765" Properties=species:S:1:pos:R:3 pbc="T T T"
Rb 0.000 0.000 0.000
Rb 2.301 2.809 0.122
Ti 0.089 5.015 3.442
Ti 2.385 4.048 3.444
Al 0.083 2.369 3.416
Al 2.385 0.910 3.472
```

## Properties
**Calculated volume**: 29.987 Å³/atom
**Total moment**: 0.135 μB/atom
**Space-group type**: P1, No. 1

=====

ii.
## RbTiAl (PBE)

Data for RbTiAl after structural relaxation.

Cell and atoms, written as extended XYZ:
```
6
Lattice="4.488 0.000 0.000 -2.240 3.890 0.000 -1.003 -1.905 12.267" Properties=species:S:1:pos:R:3 pbc="T T T"
Rb 0.000 0.000 0.000
Rb 0.000 -0.002 7.725
Ti -0.003 0.002 3.862
Ti 0.000 2.592 3.862
Al 2.243 1.297 2.607
Al 2.243 1.297 5.118
```

## Properties
**Calculated volume**: 35.698 Å³/atom
**Total moment**: 0.000 μB/atom
**Space-group type**: P1, No. 1

=====

The calculated energies rank the structures as follows, beginning with the most stable: ii, i.

=====

i.
## RbTi3Al (PBE)

Data for RbTi3Al after structural relaxation.

Cell and atoms, written as extended XYZ:
```
5
Lattice="5.128 0.000 0.000 0.000 5.128 0.000 0.000 0.000 5.128" Properties=species:S:1:pos:R:3 pbc="T T T"
Rb 0.000 0.000 0.000
Ti 0.000 2.564 2.564
Ti 2.564 0.000 2.564
Ti 2.564 2.564 0.000
Al 2.564 2.564 2.564
```

## Properties
**Calculated volume**: 26.967 Å³/atom
**Total moment**: 1.022 μB/atom
**Space-group type**: Pm-3m, No. 221

=====

ii.
## RbTi3Al (PBE)

Data for RbTi3Al after structural relaxation.

Cell and atoms, written as extended XYZ:
```
5
Lattice="4.678 0.000 0.000 0.000 4.678 0.000 0.000 0.000 4.678" Properties=species:S:1:pos:R:3 pbc="T T T"
Rb 0.000 0.000 0.000
Ti 0.000 0.000 2.339
Ti 0.000 2.339 0.000
Ti 2.339 0.000 0.000
Al 2.339 2.339 2.339
```

## Properties
**Calculated volume**: 20.480 Å³/atom
**Total moment**: 0.368 μB/atom
**Space-group type**: Pm-3m, No. 221

=====

The calculated energies rank the structures as follows, beginning with the most stable: i, ii.

=====

i.
## RbTiAl2 (PBE)

Data for RbTiAl2 after structural relaxation.

Cell and atoms, written as extended XYZ:
```
8
Lattice="-2.748 2.748 9.423 2.748 -2.748 9.423 2.748 2.748 -9.423" Properties=species:S:1:pos:R:3 pbc="T T T"
Rb 0.000 0.000 0.000
Rb 0.000 2.748 4.712
Ti 2.748 0.000 4.712
Ti 0.000 0.000 9.423
Al 1.374 -0.005 7.067
Al 2.743 1.374 2.356
Al 1.374 2.753 -2.356
Al 0.005 1.374 11.779
```

## Properties
**Calculated volume**: 35.578 Å³/atom
**Total moment**: 0.607 μB/atom
**Space-group type**: I-42d, No. 122

=====

ii.
## RbTiAl2 (PBE)

Data for RbTiAl2 after structural relaxation.

Cell and atoms, written as extended XYZ:
```
4
Lattice="0.000 3.632 3.632 3.632 0.000 3.632 3.632 3.632 0.000" Properties=species:S:1:pos:R:3 pbc="T T T"
Rb 0.000 0.000 0.000
Ti 3.632 3.632 3.632
Al 1.816 1.816 1.816
Al 5.447 5.447 5.447
```

## Properties
**Calculated volume**: 23.946 Å³/atom
**Total moment**: 0.275 μB/atom
**Space-group type**: Fm-3m, No. 225

=====

The calculated energies rank the structures as follows, beginning with the most stable: i, ii.